Here is an optimized crystal structure of Y3AgN from Alexandria via LeMat-Bulk. Energies are from GGA-PBE.

a b c (Å): 4.807 4.807 4.807
angles (deg): 90.00 90.00 90.00
Positions (direct):
Y: 0.000 0.500 0.000
Y: 0.000 0.000 0.500
Y: 0.500 0.000 0.000
Ag: 0.500 0.500 0.500
N: 0.000 0.000 0.000

Summary:
Total magnetization: 0.0 μB/f.u.
Polymorph energy (0 for the lowest one): 64 meV per atom
Crystal system: cubic
Volume: 22.21 Å³ per atom